# 1
The following is a DFT calculation (GGA-PBE) of a geometry-optimized Ca4U3TiN8 structure.

```
Ca4U3TiN8
1.0
3.403 1.965 5.662
-3.403 1.965 5.662
0.000 -3.929 5.662
Ca U Ti N
4 3 1 8
Direct
0.000 0.000 0.000
0.000 0.500 0.500
0.500 0.000 0.500
0.500 0.500 0.000
0.000 0.000 0.500
0.000 0.500 0.000
0.500 0.000 0.000
0.500 0.500 0.500
0.239 0.239 0.239
0.239 0.735 0.735
0.265 0.265 0.761
0.265 0.761 0.265
0.735 0.239 0.735
0.735 0.735 0.239
0.761 0.265 0.265
0.761 0.761 0.761
```

Magnetic moment, μB per atom: 0.218
Crystal system: trigonal
Uncorrected energy, eV for the cell shown: -137.0
Space group: No. 166

=====

# 2
The following is a DFT calculation (GGA-PBE) of a geometry-optimized Ca2TiVN structure.

```
Ca2TiVN
1.0
5.583 0.000 0.000
0.000 5.583 0.000
0.000 0.000 4.197
Ca Ti V N
2 1 1 1
Direct
0.000 0.500 0.000
0.500 0.000 0.000
0.000 0.000 0.500
0.000 0.000 0.000
0.500 0.500 0.500
```

Magnetic moment, μB per atom: 0.424
Crystal system: tetragonal
Uncorrected energy, eV for the cell shown: -21.6
Space group: No. 123

=====

For each record above, in turn, the calculated formation energy without anion corrections values are -1.292 1.552 eV per atom.